[1]
DFT (GGA-PBE) results for NpCuB2O8 after structural relaxation.

Cell lengths 6.3823, 6.3823, 5.8019 Å; angles 90.00, 90.00, 90.00 degrees
With the nearest neighbours (Å) after each atom.
Space group I-4m2 (No. 119)
Asymmetric unit:
Np 0.0000 0.0000 0.0000 (multiplicity 2)  8 O 2.11-2.24
Cu 0.0000 0.5000 0.7500 (multiplicity 2)  8 O 2.13-2.30
B 0.0000 0.0000 0.5000 (multiplicity 2)  4 O 1.48
B 0.0000 0.5000 0.2500 (multiplicity 2)  4 O 1.47
O 0.0000 0.1757 0.6659 (multiplicity 8)  1 B 1.48
O 0.0000 0.3193 0.0928 (multiplicity 8)  1 B 1.47

Results
Crystal system: tetragonal
Formation energy (no corrections), kJ per mole of atoms: -164

---

[2]
DFT (GGA-PBE) results for Np2CuB2Rh5 after structural relaxation.

Cell lengths 9.4059, 9.4059, 3.2556 Å; angles 90.00, 90.00, 90.00 degrees
With the nearest neighbours (Å) after each atom.
Space group P4/mbm (No. 127)
Asymmetric unit:
Np 0.1778 0.3222 0.0000 (multiplicity 4)  3 B 2.65-2.88, 6 Rh 2.87-2.90
Cu 0.0000 0.0000 0.0000 (multiplicity 2)  8 Rh 2.70
B 0.1229 0.6229 0.0000 (multiplicity 4)  6 Rh 2.27-2.31
Rh 0.0000 0.5000 0.5000 (multiplicity 2)  4 B 2.31
Rh 0.0701 0.7822 0.5000 (multiplicity 8)  2 B 2.27

Results
Crystal system: tetragonal
Energy of formation from the pure elements, eV/f.u.: -3.65

---

| no. | total moment (μB/cell) |
| --- | --- |
| 1 | 4.10 |
| 2 | 12.48 |